a) Compound: Tb6SmY3
Source: Alexandria via LeMat-Bulk
Functional: GGA-PBE
Structure: optimized geometry

Lattice parameters (Å, degrees): 8.9762 9.0246 9.0246 116.54 90.00 90.00
Fractional positions:
Sm (0.0276, 0.2228, 0.7772)
Sm (0.5276, 0.7772, 0.2228)
Tb (0.5997, 0.6936, 0.8144)
Tb (0.5997, 0.1856, 0.3064)
Tb (0.0997, 0.8144, 0.6936)
Tb (0.1613, 0.7180, 0.2820)
Tb (0.7711, 0.4713, 0.1774)
Tb (0.2711, 0.1774, 0.4713)
Tb (0.6613, 0.2820, 0.7180)
Tb (0.2843, 0.9467, 0.0533)
Tb (0.7711, 0.8226, 0.5287)
Tb (0.7843, 0.0533, 0.9467)
Tb (0.2711, 0.5287, 0.8226)
Tb (0.0997, 0.3064, 0.1856)
Y (0.9146, 0.4507, 0.5493)
Y (0.4280, 0.9714, 0.6795)
Y (0.9280, 0.0286, 0.3205)
Y (0.4146, 0.5493, 0.4507)
Y (0.9280, 0.6795, 0.9714)
Y (0.4280, 0.3205, 0.0286)

Results
As for the total magnetization: 0.00 μB/atom. The space-group type is Cmc2_1 (36). The density of states at the Fermi level is 1.301 states/eV/atom.

***

b) Compound: Tb6SmY3
Source: Alexandria via LeMat-Bulk
Functional: GGA-PBE
Structure: optimized geometry

Lattice parameters (Å, degrees): 6.1795 11.0484 11.0484 119.67 90.00 90.00
Fractional positions:
Tb (0.5316, 0.6187, 0.7111)
Tb (0.5316, 0.2889, 0.3813)
Tb (0.4227, 0.9537, 0.0463)
Tb (0.0316, 0.7111, 0.6187)
Tb (0.6370, 0.2816, 0.7184)
Tb (0.8674, 0.9580, 0.5366)
Tb (0.0316, 0.3813, 0.2889)
Tb (0.3674, 0.5366, 0.9580)
Tb (0.1370, 0.7184, 0.2816)
Tb (0.9227, 0.0463, 0.9537)
Tb (0.3674, 0.0420, 0.4634)
Tb (0.8674, 0.4634, 0.0420)
Y (0.4598, 0.2802, 0.0611)
Y (0.5689, 0.6108, 0.3892)
Y (0.0689, 0.3892, 0.6108)
Y (0.4598, 0.9389, 0.7198)
Y (0.9598, 0.0611, 0.2802)
Y (0.9598, 0.7198, 0.9389)
Sm (0.6391, 0.7941, 0.2059)
Sm (0.1391, 0.2059, 0.7941)

Results
As for the total magnetization: 0.00 μB/atom. The space-group type is Cmc2_1 (36). The density of states at the Fermi level is 1.431 states/eV/atom.

***

Unit: meV per atom. Relative energies: a) 0; b) 13.

***

a) Compound: TbSm7Y2
Source: Alexandria via LeMat-Bulk
Functional: GGA-PBE
Structure: optimized geometry

Lattice parameters (Å, degrees): 5.3416 9.7530 9.7531 127.13 90.00 90.00
Fractional positions:
Sm (0.0000, 0.1977, 0.8023)
Sm (0.5000, 0.5000, 0.5000)
Sm (0.0000, 0.8023, 0.1977)
Sm (0.5000, 0.0714, 0.2882)
Sm (0.5000, 0.2882, 0.0714)
Sm (0.5000, 0.9286, 0.7118)
Sm (0.5000, 0.7118, 0.9286)
Y (0.5000, 0.2946, 0.7054)
Y (0.5000, 0.7054, 0.2946)
Tb (0.0000, 0.0000, 0.0000)

Results
As for the total magnetization: 0.00 μB/atom. The space-group type is Cmmm (65). The density of states at the Fermi level is 1.462 states/eV/atom.

***

b) Compound: TbSm7Y2
Source: Alexandria via LeMat-Bulk
Functional: GGA-PBE
Structure: optimized geometry

Lattice parameters (Å, degrees): 6.2563 9.5572 6.2432 108.98 80.33 77.38
Fractional positions:
Sm (0.0005, 0.1992, 0.5994)
Sm (0.9994, 0.3998, 0.1997)
Sm (0.5003, 0.8996, 0.1989)
Sm (0.0006, 0.6002, 0.8003)
Sm (0.5000, 0.5000, 0.0000)
Sm (0.9995, 0.8008, 0.4006)
Sm (0.4997, 0.1004, 0.8011)
Y (0.5004, 0.2997, 0.4000)
Y (0.4996, 0.7003, 0.6000)
Tb (0.0000, 0.0000, 0.0000)

Results
As for the total magnetization: 0.00 μB/atom. The space-group type is P-1 (2). The density of states at the Fermi level is 1.412 states/eV/atom.

***

Unit: meV per atom. Relative energies: a) 650; b) 0.

***

a) Compound: Tb3SmY7
Source: Alexandria via LeMat-Bulk
Functional: GGA-PBE
Structure: optimized geometry

Lattice parameters (Å, degrees): 8.6309 7.1006 7.1004 120.00 89.99 90.00
Fractional positions:
Y (0.1166, 0.1678, 0.8323)
Y (0.1166, 0.1678, 0.3356)
Y (0.4497, 0.8324, 0.1676)
Y (0.4497, 0.3352, 0.1676)
Y (0.1181, 0.6667, 0.3333)
Y (0.1166, 0.6645, 0.8323)
Y (0.4496, 0.8324, 0.6647)
Sm (0.4479, 0.3333, 0.6667)
Tb (0.7835, 0.5000, 0.5000)
Tb (0.7835, 0.0000, 0.5000)
Tb (0.7835, 0.5000, 0.0000)

Results
As for the total magnetization: 0.00 μB/atom. The space-group type is P3m1 (156). The density of states at the Fermi level is 1.660 states/eV/atom.

***

b) Compound: Tb3SmY7
Source: Alexandria via LeMat-Bulk
Functional: GGA-PBE
Structure: optimized geometry

Lattice parameters (Å, degrees): 5.5644 10.0276 8.8899 105.20 128.74 90.01
Fractional positions:
Tb (0.7215, 0.0023, 0.2212)
Tb (0.2785, 0.9977, 0.7788)
Tb (0.0000, 0.5000, 0.0000)
Y (0.8531, 0.7116, 0.3532)
Y (0.3203, 0.6389, 0.8202)
Y (0.6797, 0.3611, 0.1798)
Y (0.1469, 0.2884, 0.6468)
Y (0.5000, 0.0000, 0.5000)
Y (0.0792, 0.1695, 0.0793)
Y (0.9208, 0.8305, 0.9207)
Sm (0.5000, 0.5000, 0.5000)

Results
As for the total magnetization: 0.00 μB/atom. The space-group type is P2/m (10). The density of states at the Fermi level is 1.740 states/eV/atom.

***

Unit: meV per atom. Relative energies: a) 53; b) 0.

***

a) Compound: Tb4Sm4Y3
Source: Alexandria via LeMat-Bulk
Functional: GGA-PBE
Structure: optimized geometry

Lattice parameters (Å, degrees): 5.7019 6.6965 10.5977 90.00 90.00 115.20
Fractional positions:
Y (0.4085, 0.8170, 0.7065)
Y (0.4085, 0.8170, 0.2935)
Y (0.2536, 0.5072, 0.0000)
Tb (0.1027, 0.2055, 0.7006)
Tb (0.1027, 0.2055, 0.2994)
Tb (0.5491, 0.0983, 0.0000)
Tb (0.6182, 0.2363, 0.5000)
Sm (0.9592, 0.9184, 0.0000)
Sm (0.7540, 0.5080, 0.7933)
Sm (0.7540, 0.5080, 0.2067)
Sm (0.8879, 0.7759, 0.5000)

Results
As for the total magnetization: 0.00 μB/atom. The space-group type is Amm2 (38). The density of states at the Fermi level is 1.648 states/eV/atom.

***

b) Compound: Tb4Sm4Y3
Source: Alexandria via LeMat-Bulk
Functional: GGA-PBE
Structure: optimized geometry

Lattice parameters (Å, degrees): 3.5858 5.0761 19.9826 97.29 95.17 90.02
Fractional positions:
Tb (0.9089, 0.9091, 0.8178)
Tb (0.0911, 0.0909, 0.1822)
Tb (0.7273, 0.7273, 0.4550)
Tb (0.2726, 0.2728, 0.5451)
Sm (0.8180, 0.8182, 0.6358)
Sm (0.1820, 0.1818, 0.3643)
Sm (0.5460, 0.5458, 0.0917)
Sm (0.4540, 0.4542, 0.9083)
Y (0.6364, 0.6360, 0.2727)
Y (0.3636, 0.3640, 0.7273)
Y (0.0000, 0.0000, 0.0000)

Results
As for the total magnetization: 0.00 μB/atom. The space-group type is Immm (71). The density of states at the Fermi level is 1.278 states/eV/atom.

***

Unit: meV per atom. Relative energies: a) 126; b) 0.